An optimized crystal structure of Na2CrAgCl6. Source: Alexandria via LeMat-Bulk, functional GGA-PBE.

Calculated values
size of the total moment	6.0	μB/cell
total DFT energy (no corrections)	-3.861	eV/atom

Cell lengths 6.631, 7.002, 11.771 Å; angles 90.00, 124.18, 90.00 degrees
Space group P2_1/c (No. 14)
Asymmetric unit:
1 Na 0.218 0.086 0.249
2 Cr 0.500 0.000 0.000
3 Ag 0.000 0.000 0.500
4 Cl 0.147 0.177 0.937
5 Cl 0.269 0.712 0.935
6 Cl 0.400 0.039 0.773

An optimized crystal structure of NaCrAg2Cl6. Source: Alexandria via LeMat-Bulk, functional GGA-PBE.

Calculated values
size of the total moment	6.0	μB/cell
total DFT energy (no corrections)	-3.726	eV/atom

Cell lengths 6.799, 6.766, 11.938 Å; angles 90.00, 123.64, 90.00 degrees
Space group P2_1/c (No. 14)
Asymmetric unit:
1 Na 0.000 0.000 0.000
2 Cr 0.500 0.000 0.500
3 Ag 0.232 0.039 0.736
4 Cl 0.170 0.089 0.281
5 Cl 0.248 0.660 0.048
6 Cl 0.440 0.204 0.082

no.,formation energy from raw total energies (eV per atom)
1,-1.242
2,-0.953